1.
Entry from the Open Quantum Materials Database: a relaxed NdTcCl crystal (PBE).

Output
- ρ: 5.55 g/cm³
- M_tot: 0.02 μB per atom
- E: -6.703 eV per atom
- Space group: No. 166

a b c (Å): 11.6140 11.6140 11.6140
angles (deg): 20.38 20.38 20.38
Last column: nearest neighbours and their distance in Å.
Atoms (fractional coordinates):
Nd1 0.0666 0.0666 0.0666  3 Cl 2.92, 3 Tc 3.15
Nd2 0.9334 0.9334 0.9334  3 Cl 2.92, 3 Tc 3.15
Tc1 0.3391 0.3391 0.3391  3 Tc 2.41
Tc2 0.6609 0.6609 0.6609  3 Tc 2.41
Cl1 0.2167 0.2167 0.2167  3 Nd 2.92
Cl2 0.7833 0.7833 0.7833  3 Nd 2.92



2.
Entry from the Open Quantum Materials Database: a relaxed NdTeCl crystal (PBE).

Output
- ρ: 6.20 g/cm³
- M_tot: 0.00 μB per atom
- E: -5.074 eV per atom
- Space group: No. 129

a b c (Å): 4.4712 4.4712 8.2313
angles (deg): 90.00 90.00 90.00
Last column: nearest neighbours and their distance in Å.
Atoms (fractional coordinates):
Nd1 0.2500 0.2500 0.2388  4 Cl 2.98, 5 Te 3.25-3.33
Nd2 0.7500 0.7500 0.7612  4 Cl 2.98, 5 Te 3.25-3.33
Te1 0.2500 0.2500 0.6342  5 Nd 3.25-3.33
Te2 0.7500 0.7500 0.3658  5 Nd 3.25-3.33
Cl1 0.2500 0.7500 0.0000  4 Nd 2.98, 4 Cl 3.16
Cl2 0.7500 0.2500 0.0000  4 Nd 2.98, 4 Cl 3.16



3.
Entry from the Open Quantum Materials Database: a relaxed NdTlCl3 crystal (PBE).

Output
- ρ: 5.21 g/cm³
- M_tot: 0.20 μB per atom
- E: -4.125 eV per atom
- Space group: No. 62

a b c (Å): 9.2431 3.9397 15.9206
angles (deg): 90.00 90.00 90.00
Last column: nearest neighbours and their distance in Å.
Atoms (fractional coordinates):
Nd1 0.1447 0.2500 0.0457  6 Cl 2.79-2.91
Nd2 0.3553 0.7500 0.5457  6 Cl 2.79-2.91
Nd3 0.6447 0.2500 0.4543  6 Cl 2.79-2.91
Nd4 0.8553 0.7500 0.9543  6 Cl 2.79-2.91
Tl1 0.0651 0.7500 0.3194  7 Cl 3.22-3.48
Tl2 0.4349 0.2500 0.8194  7 Cl 3.22-3.48
Tl3 0.5651 0.7500 0.1806  7 Cl 3.22-3.48
Tl4 0.9349 0.2500 0.6806  7 Cl 3.22-3.48
Cl1 0.0380 0.2500 0.8739  3 Nd 2.89-2.91, 1 Tl 3.22
Cl2 0.1585 0.2500 0.4912  2 Nd 2.82
Cl3 0.2152 0.7500 0.7012  1 Nd 2.79
Cl4 0.2848 0.2500 0.2012  1 Nd 2.79
Cl5 0.3415 0.7500 0.9912  2 Nd 2.82
Cl6 0.4620 0.7500 0.3739  3 Nd 2.89-2.91, 1 Tl 3.22
Cl7 0.5380 0.2500 0.6261  3 Nd 2.89-2.91, 1 Tl 3.22
Cl8 0.6585 0.2500 0.0088  2 Nd 2.82
Cl9 0.7152 0.7500 0.7988  1 Nd 2.79
Cl10 0.7848 0.2500 0.2988  1 Nd 2.79
Cl11 0.8415 0.7500 0.5088  2 Nd 2.82
Cl12 0.9620 0.7500 0.1261  3 Nd 2.89-2.91, 1 Tl 3.22



4.
Entry from the Open Quantum Materials Database: a relaxed NiCl3 crystal (PBE).

Output
- ρ: 3.01 g/cm³
- M_tot: 0.25 μB per atom
- E: -3.199 eV per atom
- Space group: No. 193

a b c (Å): 6.0811 6.0811 5.6817
angles (deg): 90.00 90.00 120.00
Last column: nearest neighbours and their distance in Å.
Atoms (fractional coordinates):
Ni1 0.0000 0.0000 0.0000  6 Cl 2.29
Ni2 0.0000 0.0000 0.5000  6 Cl 2.29
Cl1 0.0000 0.2956 0.2500  2 Ni 2.29
Cl2 0.0000 0.7044 0.7500  2 Ni 2.29
Cl3 0.2956 0.0000 0.2500  2 Ni 2.29
Cl4 0.2956 0.2956 0.7500  2 Ni 2.29
Cl5 0.7044 0.0000 0.7500  2 Ni 2.29
Cl6 0.7044 0.7044 0.2500  2 Ni 2.29



5.
Entry from the Open Quantum Materials Database: a relaxed NiCl4 crystal (PBE).

Output
- ρ: 3.19 g/cm³
- M_tot: 0.07 μB per atom
- E: -2.811 eV per atom
- Space group: No. 65

a b c (Å): 5.5921 5.5921 3.3519
angles (deg): 90.00 90.00 95.13
Last column: nearest neighbours and their distance in Å.
Atoms (fractional coordinates):
Ni1 0.0000 0.0000 0.0000  6 Cl 2.21-2.28
Cl1 0.1866 0.8134 0.5000  2 Ni 2.28
Cl2 0.2933 0.2933 0.0000  1 Ni 2.21
Cl3 0.7067 0.7067 0.0000  1 Ni 2.21
Cl4 0.8134 0.1866 0.5000  2 Ni 2.28



6.
Entry from the Open Quantum Materials Database: a relaxed NiCl3 crystal (PBE).

Output
- ρ: 3.72 g/cm³
- M_tot: 0.75 μB per atom
- E: -2.185 eV per atom
- Space group: No. 225

a b c (Å): 4.7069 4.7069 4.7069
angles (deg): 60.00 60.00 60.00
Last column: nearest neighbours and their distance in Å.
Atoms (fractional coordinates):
Ni1 0.0000 0.0000 0.0000  8 Cl 2.88
Cl1 0.2500 0.2500 0.2500  4 Cl 2.88, 4 Ni 2.88
Cl2 0.5000 0.5000 0.5000  8 Cl 2.88
Cl3 0.7500 0.7500 0.7500  4 Cl 2.88, 4 Ni 2.88



7.
Entry from the Open Quantum Materials Database: a relaxed NiCl3 crystal (PBE).

Output
- ρ: 2.88 g/cm³
- M_tot: 0.60 μB per atom
- E: -2.981 eV per atom
- Space group: No. 194

a b c (Å): 8.4310 8.4310 3.0962
angles (deg): 90.00 90.00 120.00
Last column: nearest neighbours and their distance in Å.
Atoms (fractional coordinates):
Ni1 0.3333 0.6667 0.2500  6 Cl 2.35
Ni2 0.6667 0.3333 0.7500  6 Cl 2.35
Cl1 0.2120 0.4239 0.7500  2 Ni 2.35
Cl2 0.2120 0.7880 0.7500  2 Ni 2.35
Cl3 0.4239 0.2120 0.2500  2 Ni 2.35
Cl4 0.5761 0.7880 0.7500  2 Ni 2.35
Cl5 0.7880 0.2120 0.2500  2 Ni 2.35
Cl6 0.7880 0.5761 0.2500  2 Ni 2.35



8.
Entry from the Open Quantum Materials Database: a relaxed Ni3Cl crystal (PBE).

Output
- ρ: 6.51 g/cm³
- M_tot: 0.38 μB per atom
- E: -4.113 eV per atom
- Excess energy over the best structure of this formula in the dataset: 0 meV per atom
- Space group: No. 194

a b c (Å): 5.9078 5.9078 3.5705
angles (deg): 90.00 90.00 120.00
Last column: nearest neighbours and their distance in Å.
Atoms (fractional coordinates):
Ni1 0.1512 0.3024 0.2500  4 Ni 2.36, 2 Cl 2.58
Ni2 0.1512 0.8488 0.2500  4 Ni 2.36, 2 Cl 2.58
Ni3 0.3024 0.1512 0.7500  4 Ni 2.36, 2 Cl 2.58
Ni4 0.6976 0.8488 0.2500  4 Ni 2.36, 2 Cl 2.58
Ni5 0.8488 0.1512 0.7500  4 Ni 2.36, 2 Cl 2.58
Ni6 0.8488 0.6976 0.7500  4 Ni 2.36, 2 Cl 2.58
Cl1 0.3333 0.6667 0.7500  6 Ni 2.58
Cl2 0.6667 0.3333 0.2500  6 Ni 2.58



> Which of these has the highest E?

number 6



> ρ of number 1 (NdTcCl)?

5.55 g/cm³



> What is the formula in the sixth record?

NiCl3